(1)
The following is a PBE calculation of a geometry-optimized Pm2CdP3Rh12 structure, from Alexandria via LeMat-Bulk.

POSCAR file:
```
Pm2CdP3Rh12
1.0
4.4932 2.5942 4.2950
-4.4932 2.5942 4.2950
0.0000 -5.1883 4.2950
Pm Cd P Rh
2 1 3 12
Direct
0.1271 0.1271 0.1271
0.8729 0.8729 0.8729
0.5000 0.5000 0.5000
0.0000 0.5000 0.5000
0.5000 0.0000 0.5000
0.5000 0.5000 0.0000
0.1325 0.1325 0.5927
0.1325 0.5927 0.1325
0.1664 0.6744 0.6744
0.3256 0.3256 0.8336
0.3256 0.8336 0.3256
0.4073 0.8675 0.8675
0.5927 0.1325 0.1325
0.6744 0.1664 0.6744
0.6744 0.6744 0.1664
0.8336 0.3256 0.3256
0.8675 0.4073 0.8675
0.8675 0.8675 0.4073
```

**E**: -6.591 eV/atom
**Total moment**: 0.00 μB per atom
**Formation enthalpy at 0 K**: -0.21 eV/atom

---

(2)
The following is a PBE calculation of a geometry-optimized PmCd2PRh2 structure, from Alexandria via LeMat-Bulk.

POSCAR file:
```
PmCd2PRh2
1.0
-2.5883 2.5883 5.2254
2.5883 -2.5883 5.2254
2.5883 2.5883 -5.2254
Pm Cd P Rh
1 2 1 2
Direct
0.0000 0.0000 0.0000
0.2500 0.7500 0.5000
0.7500 0.2500 0.5000
0.5000 0.5000 0.0000
0.2977 0.2977 0.0000
0.7023 0.7023 0.0000
```

**E**: -4.616 eV/atom
**Total moment**: 0.00 μB per atom
**Formation enthalpy at 0 K**: -0.17 eV/atom

---

(3)
The following is a PBE calculation of a geometry-optimized Pr2CdP structure, from Alexandria via LeMat-Bulk.

POSCAR file:
```
Pr2CdP
1.0
2.0629 1.1910 8.0406
-2.0629 1.1910 8.0406
0.0000 -2.3820 8.0406
Pr Cd P
2 1 1
Direct
0.0000 0.0000 0.0000
0.1982 0.1982 0.1982
0.4322 0.4322 0.4322
0.5993 0.5993 0.5993
```

**E**: -4.789 eV/atom
**Total moment**: 0.00 μB per atom
**Formation enthalpy at 0 K**: -0.82 eV/atom